Computed, not measured: a crystal of Y3SbIr relaxed with PBEsol at the SCAN level of DFT.

Cell: 5.269 5.269 5.269 Å, 90.00 90.00 90.00°
Space group Pm-3m (No. 221)
Inequivalent atoms, fractional coordinates:
Y: 0.000 0.000 0.500
Sb: 0.500 0.500 0.500
Ir: 0.000 0.000 0.000

Computed properties:
Formation energy from raw total energies = -0.6915 eV per atom
DFT total energy = -39.069 eV per atom
Crystal system = cubic



Computed, not measured: a crystal of CrOs2Se relaxed with PBEsol at the SCAN level of DFT.

Cell: 2.856 2.856 6.604 Å, 90.00 90.00 90.00°
Space group P4mm (No. 99)
Inequivalent atoms, fractional coordinates:
Cr: 0.000 0.000 0.000
Os: 0.000 0.000 0.532
Os: 0.500 0.500 0.269
Se: 0.500 0.500 0.800

Computed properties:
Formation energy from raw total energies = 0.4226 eV per atom
DFT total energy = -45.133 eV per atom
Crystal system = tetragonal



Computed, not measured: a crystal of AlB2Mo2 relaxed with PBEsol at the SCAN level of DFT.

Cell: 5.838 5.838 3.140 Å, 90.00 90.00 90.00°
Space group P4/mbm (No. 127)
Inequivalent atoms, fractional coordinates:
Al: 0.000 0.000 0.000
B: 0.112 0.388 0.000
Mo: 0.174 0.674 0.500

Computed properties:
ΔH_f (0 K) = -483.6 meV per atom
DFT total energy = -18.960 eV per atom
Crystal system = tetragonal



Computed, not measured: a crystal of YMg2In relaxed with PBEsol at the SCAN level of DFT.

Cell: 3.366 5.038 5.829 Å, 90.00 96.97 90.00°
Space group P2/m (No. 10)
Inequivalent atoms, fractional coordinates:
Y: 0.000 0.000 0.000
Mg: 0.375 0.500 0.746
In: 0.500 0.000 0.500

Computed properties:
ΔH_f (0 K) = -224.3 meV per atom
DFT total energy = -18.019 eV per atom
Crystal system = monoclinic



Computed, not measured: a crystal of Er2AlZn relaxed with PBEsol at the SCAN level of DFT.

Cell: 7.006 7.006 7.006 Å, 90.00 90.00 90.00°
Space group Fm-3m (No. 225)
Inequivalent atoms, fractional coordinates:
Er: 0.250 0.250 0.250
Al: 0.000 0.000 0.000
Zn: 0.000 0.000 0.500

Computed properties:
ΔH_f (0 K) = -418.6 meV per atom
DFT total energy = -30.905 eV per atom
Crystal system = cubic



Computed, not measured: a crystal of Mn3CuTc relaxed with PBEsol at the SCAN level of DFT.

Cell: 4.345 4.345 4.345 Å, 90.00 90.00 90.00°
Space group Pm-3m (No. 221)
Inequivalent atoms, fractional coordinates:
Mn: 0.000 0.000 0.500
Cu: 0.000 0.000 0.000
Tc: 0.500 0.500 0.500

Computed properties:
ΔH_f (0 K) = 908.3 meV per atom
DFT total energy = -20.097 eV per atom
Crystal system = cubic



Computed, not measured: a crystal of Be2FeAs relaxed with PBEsol at the SCAN level of DFT.

Cell: 3.371 3.371 7.002 Å, 90.00 90.00 90.00°
Space group I-4m2 (No. 119)
Inequivalent atoms, fractional coordinates:
Be: 0.000 0.000 0.000
Be: 0.000 0.500 0.250
Fe: 0.000 0.000 0.500
As: 0.000 0.500 0.750

Computed properties:
Relative energy among the computed polymorphs = 39 meV/atom
ΔH_f (0 K) = 59.2 meV per atom
DFT total energy = -11.698 eV per atom
Crystal system = tetragonal



Computed, not measured: a crystal of Tl2NiW relaxed with PBEsol at the SCAN level of DFT.

Cell: 2.974 2.962 16.942 Å, 90.00 90.00 90.00°
Space group Amm2 (No. 38)
Inequivalent atoms, fractional coordinates:
Tl: 0.000 0.000 0.000
Tl: 0.500 0.000 0.170
Ni: 0.000 0.000 0.785
W: 0.500 0.000 0.370

Computed properties:
Relative energy among the computed polymorphs = 0 meV/atom
ΔH_f (0 K) = 578.8 meV per atom
DFT total energy = -57.066 eV per atom
Crystal system = orthorhombic



Computed, not measured: a crystal of MnBe2Tl relaxed with PBEsol at the SCAN level of DFT.

Cell: 3.551 3.551 8.019 Å, 90.00 90.00 90.00°
Space group I-4m2 (No. 119)
Inequivalent atoms, fractional coordinates:
Mn: 0.000 0.000 0.000
Be: 0.000 0.000 0.500
Be: 0.000 0.500 0.250
Tl: 0.000 0.500 0.750

Computed properties:
Relative energy among the computed polymorphs = 3 meV/atom
ΔH_f (0 K) = 354.7 meV per atom
DFT total energy = -24.475 eV per atom
Crystal system = tetragonal



Computed, not measured: a crystal of Ba3Li4Sb4 relaxed with PBEsol at the SCAN level of DFT.

Cell: 4.972 7.567 16.340 Å, 90.00 90.00 90.00°
Space group Immm (No. 71)
Inequivalent atoms, fractional coordinates:
Ba: 0.000 0.000 0.000
Ba: 0.000 0.500 0.132
Li: 0.000 0.308 0.326
Sb: 0.000 0.000 0.214
Sb: 0.000 0.188 0.500

Computed properties:
Formation energy from raw total energies = -0.9774 eV per atom
DFT total energy = -26.182 eV per atom
Crystal system = orthorhombic



Computed, not measured: a crystal of ReTe2Mo relaxed with PBEsol at the SCAN level of DFT.

Cell: 8.314 3.588 6.663 Å, 90.00 104.35 90.00°
Space group Cm (No. 8)
Inequivalent atoms, fractional coordinates:
Re: 0.000 0.000 0.000
Te: 0.242 0.000 0.771
Te: 0.473 0.000 0.318
Mo: 0.213 0.500 0.091

Computed properties:
Formation energy from raw total energies = 0.3104 eV per atom
Relative energy among the computed polymorphs = 0 meV/atom
DFT total energy = -44.811 eV per atom
Crystal system = monoclinic



Computed, not measured: a crystal of NbCoPCl2 relaxed with PBEsol at the SCAN level of DFT.

Cell: 4.282 4.282 4.598 Å, 90.00 90.00 90.00°
Space group P4/mmm (No. 123)
Inequivalent atoms, fractional coordinates:
Nb: 0.000 0.000 0.000
Co: 0.500 0.500 0.500
P: 0.500 0.500 0.000
Cl: 0.000 0.500 0.500

Computed properties:
Formation energy from raw total energies = 0.3433 eV per atom
DFT total energy = -15.014 eV per atom
Crystal system = tetragonal



- The lowest DFT total energy belongs to which entry?
  Tl2NiW